1.
DFT (PBE-GGA) results for a geometry-optimized K3AcC4O12 structure.

Lattice parameters (Å, degrees): 7.0789 7.0789 7.0789 98.59 98.59 98.59
With the nearest neighbours (Å) after each atom.
Sites, in units of the cell vectors:
K: 0.4970 0.5030 0.0000  6 O 2.71-2.80
K: 0.5030 0.0000 0.4970  6 O 2.71-2.80
K: 0.0000 0.4970 0.5030  6 O 2.71-2.80
Ac: 0.0000 0.0000 0.0000  6 O 2.58
C: 0.9963 0.0037 0.5000  3 O 1.27-1.31
C: 0.0037 0.5000 0.9963  3 O 1.27-1.31
C: 0.5000 0.9963 0.0037  3 O 1.27-1.31
C: 0.5000 0.5000 0.5000  3 O 1.28
O: 0.5000 0.3808 0.6192  1 C 1.28
O: 0.8850 0.5000 0.1150  1 C 1.27
O: 0.1150 0.8850 0.5000  1 C 1.27
O: 0.5000 0.1150 0.8850  1 C 1.27
O: 0.3585 0.9726 0.1018  1 C 1.31
O: 0.1018 0.3585 0.9726  1 C 1.31
O: 0.9726 0.1018 0.3585  1 C 1.31
O: 0.6415 0.8982 0.0274  1 C 1.31
O: 0.0274 0.6415 0.8982  1 C 1.31
O: 0.8982 0.0274 0.6415  1 C 1.31
O: 0.6192 0.5000 0.3808  1 C 1.28
O: 0.3808 0.6192 0.5000  1 C 1.28

E_form (uncorrected) = -1.7534 eV per atom
V = 341 Å³ per cell
E_tot = -138.863 eV for the cell shown
Magnetic moment = 2.0 μB/cell

=====

2.
DFT (PBE-GGA) results for a geometry-optimized Ac3LaC8 structure.

Lattice parameters (Å, degrees): 6.8077 6.8077 6.8081 68.56 74.40 111.44
With the nearest neighbours (Å) after each atom.
Sites, in units of the cell vectors:
Ac: 0.7500 0.5000 0.7500  8 C 2.87-2.88
Ac: 0.2500 0.5000 0.2500  8 C 2.87-2.88
Ac: 0.5000 0.0000 0.5000  8 C 2.80-2.90
La: 0.0000 0.0000 0.0000  4 C 2.54
C: 0.0581 0.0000 0.6156  1 C 1.29
C: 0.6156 0.6736 0.3844  1 C 1.29
C: 0.9420 0.3264 0.0580  1 C 1.29
C: 0.3843 0.0000 0.9420  1 C 1.29
C: 0.8739 0.0000 0.5973  1 C 1.29
C: 0.5973 0.4711 0.4027  1 C 1.29
C: 0.1262 0.5289 0.8738  1 C 1.29
C: 0.4027 0.0000 0.1262  1 C 1.29

V = 242 Å³ per cell
E_tot = -89.076 eV for the cell shown
Magnetic moment = 0.0 μB/cell

=====

Look up the V of the second one.
242 Å³ per cell

=====

The highest V belongs to which entry?
K3AcC4O12

=====

Look up the E_tot of the first one.
-138.863 eV for the cell shown